# 1
A geometry-optimized As3Os4 structure. Source: Alexandria via LeMat-Bulk, functional GGA-PBE.

Results
- space-group type = I4/mmm (139)
- formation energy from the elements (eV per formula unit) = 2.0
- V (Å³/cell) = 116
- crystal system = tetragonal

Cell and atoms, written as POSCAR:
```
As3Os4
1.0
-1.444 1.444 13.889
1.444 -1.444 13.889
1.444 1.444 -13.889
As Os
3 4
direct
0.000 0.000 0.000 As
0.313 0.313 0.000 As
0.687 0.687 0.000 As
0.127 0.127 0.000 Os
0.438 0.438 0.000 Os
0.562 0.562 0.000 Os
0.873 0.873 0.000 Os
```


# 2
A geometry-optimized As2Os structure. Source: Alexandria via LeMat-Bulk, functional GGA-PBE.

Results
- space-group type = P4/mmm (123)
- formation energy from the elements (eV per formula unit) = 1.8
- V (Å³/cell) = 56
- crystal system = tetragonal

Cell and atoms, written as POSCAR:
```
As2Os
1.0
4.288 0.000 0.000
0.000 4.288 0.000
0.000 0.000 3.039
As Os
2 1
direct
0.000 0.500 0.000 As
0.500 0.000 0.000 As
0.000 0.000 0.500 Os
```


# 3
A geometry-optimized As3Os structure. Source: Alexandria via LeMat-Bulk, functional GGA-PBE.

Results
- space-group type = Immm (71)
- formation energy from the elements (eV per formula unit) = 1.5
- V (Å³/cell) = 74
- crystal system = orthorhombic
- excess energy over the best structure of this formula in the dataset (meV per atom) = 270.2

Cell and atoms, written as POSCAR:
```
As3Os
1.0
-1.504 2.196 5.612
1.504 -2.196 5.612
1.504 2.196 -5.612
As Os
3 1
direct
0.000 0.000 0.000 As
0.313 0.813 0.500 As
0.687 0.187 0.500 As
0.500 0.500 0.000 Os
```